Density functional theory data (PBE-GGA) for HfSb3P after structural relaxation.

The structure in POSCAR format:
```
HfSb3P
1.0
5.484 0.000 0.000
0.000 5.484 0.000
0.000 0.000 5.484
Hf Sb P
1 3 1
Direct
0.000 0.000 0.000 Hf
0.000 0.000 0.500 Sb
0.000 0.500 0.000 Sb
0.500 0.000 0.000 Sb
0.500 0.500 0.500 P
```

Summary:
For the calculated density, the calculation gives 5.787 g/cm³. The calculation puts the density of states at the Fermi level at 0.476 states/eV/atom. As for the space group: No. 221. The energy above the most stable polymorph in this dataset is 63 kJ/mol of formula units. The value obtained for the uncorrected formation energy is 0.750 eV per atom. The calculated volume comes out at 165 Å³/cell.